[1]
Computed, not measured: Rb2Nb3Cl7O5 at its PBEsol-relaxed geometry at the SCAN level of DFT.

The structure in POSCAR format:
```
Rb2Nb3Cl7O5
1.0
8.442 -4.475 0.000
8.442 4.475 0.000
-4.080 0.000 10.373
Rb Nb Cl O
4 6 14 10
direct
0.156 0.243 0.355
0.243 0.156 0.855
0.757 0.844 0.145
0.844 0.757 0.645
0.210 0.785 0.026
0.215 0.790 0.474
0.462 0.538 0.750
0.538 0.462 0.250
0.785 0.210 0.526
0.790 0.215 0.974
0.053 0.636 0.956
0.058 0.639 0.375
0.090 0.910 0.250
0.279 0.418 0.666
0.361 0.942 0.125
0.364 0.947 0.544
0.418 0.279 0.166
0.582 0.721 0.834
0.636 0.053 0.456
0.639 0.058 0.875
0.721 0.582 0.334
0.910 0.090 0.750
0.942 0.361 0.625
0.947 0.364 0.044
0.000 0.000 0.000
0.000 0.000 0.500
0.286 0.711 0.876
0.289 0.714 0.624
0.396 0.602 0.125
0.398 0.604 0.375
0.602 0.396 0.625
0.604 0.398 0.875
0.711 0.286 0.376
0.714 0.289 0.124
```

The value obtained for the raw formation energy is -2.194 eV per atom. The calculation puts the final energy at -15.60 eV/atom. Its space group is C2/c (15). As for the crystal system: monoclinic. The density of states at the Fermi level is 0.00 states/eV/cell.

***

[2]
Computed, not measured: NbTlCl4O at its PBEsol-relaxed geometry at the SCAN level of DFT.

The structure in POSCAR format:
```
NbTlCl4O
1.0
7.945 0.000 0.000
0.000 14.745 0.000
0.000 0.000 12.820
Nb Tl Cl O
8 8 32 8
direct
0.195 0.102 0.247
0.195 0.398 0.747
0.305 0.602 0.247
0.305 0.898 0.747
0.695 0.102 0.253
0.695 0.398 0.753
0.805 0.602 0.253
0.805 0.898 0.753
0.010 0.648 0.886
0.010 0.852 0.386
0.490 0.148 0.886
0.490 0.352 0.386
0.510 0.648 0.614
0.510 0.852 0.114
0.990 0.148 0.614
0.990 0.352 0.114
0.153 0.247 0.814
0.153 0.253 0.314
0.159 0.549 0.684
0.159 0.951 0.184
0.164 0.045 0.422
0.164 0.455 0.922
0.167 0.159 0.074
0.167 0.341 0.574
0.333 0.659 0.074
0.333 0.841 0.574
0.336 0.545 0.422
0.336 0.955 0.922
0.341 0.049 0.684
0.341 0.451 0.184
0.347 0.747 0.814
0.347 0.753 0.314
0.653 0.247 0.686
0.653 0.253 0.186
0.659 0.549 0.816
0.659 0.951 0.316
0.664 0.045 0.078
0.664 0.455 0.578
0.667 0.159 0.426
0.667 0.341 0.926
0.833 0.659 0.426
0.833 0.841 0.926
0.836 0.545 0.078
0.836 0.955 0.578
0.841 0.049 0.816
0.841 0.451 0.316
0.847 0.747 0.686
0.847 0.753 0.186
0.079 0.603 0.251
0.079 0.897 0.751
0.421 0.103 0.251
0.421 0.397 0.751
0.579 0.603 0.249
0.579 0.897 0.749
0.921 0.103 0.249
0.921 0.397 0.749
```

The value obtained for the raw formation energy is -1.615 eV per atom. The calculation puts the final energy at -22.13 eV/atom. Its space group is Pbca (61). As for the crystal system: orthorhombic. The density of states at the Fermi level is 0.00 states/eV/cell.

***

[3]
Computed, not measured: Nb2OsRhCl at its PBEsol-relaxed geometry at the SCAN level of DFT.

The structure in POSCAR format:
```
Nb2OsRhCl
1.0
4.855 0.000 0.000
0.000 4.855 0.000
0.000 0.000 4.663
Nb Os Rh Cl
2 1 1 1
direct
0.000 0.500 0.000
0.500 0.000 0.000
0.000 0.000 0.000
0.000 0.000 0.500
0.500 0.500 0.500
```

The value obtained for the raw formation energy is 1.066 eV per atom. The calculation puts the final energy at -34.91 eV/atom. Its space group is P4/mmm (123). As for the crystal system: tetragonal. The density of states at the Fermi level is 4.40 states/eV/cell.

***

[4]
Computed, not measured: NbP2RuCl at its PBEsol-relaxed geometry at the SCAN level of DFT.

The structure in POSCAR format:
```
NbP2RuCl
1.0
4.457 0.000 0.000
0.000 4.457 0.000
0.000 0.000 4.726
Nb P Ru Cl
1 2 1 1
direct
0.000 0.000 0.000
0.000 0.500 0.500
0.500 0.000 0.500
0.500 0.500 0.500
0.500 0.500 0.000
```

The value obtained for the raw formation energy is 0.665 eV per atom. The calculation puts the final energy at -18.68 eV/atom. Its space group is P4/mmm (123). As for the crystal system: tetragonal. The density of states at the Fermi level is 3.96 states/eV/cell.

***

[5]
Computed, not measured: NbP2SCl at its PBEsol-relaxed geometry at the SCAN level of DFT.

The structure in POSCAR format:
```
NbP2SCl
1.0
4.843 0.000 0.000
0.000 4.843 0.000
0.000 0.000 4.620
Nb P S Cl
1 2 1 1
direct
0.000 0.000 0.000
0.000 0.500 0.000
0.500 0.000 0.000
0.000 0.000 0.500
0.500 0.500 0.500
```

The value obtained for the raw formation energy is 0.199 eV per atom. The calculation puts the final energy at -14.11 eV/atom. Its space group is P4/mmm (123). As for the crystal system: tetragonal. The density of states at the Fermi level is 3.03 states/eV/cell.

***

[6]
Computed, not measured: NbSnPCl2 at its PBEsol-relaxed geometry at the SCAN level of DFT.

The structure in POSCAR format:
```
NbSnPCl2
1.0
4.965 0.000 0.000
0.000 4.965 0.000
0.000 0.000 5.148
Nb Sn P Cl
1 1 1 2
direct
0.000 0.000 0.000
0.500 0.500 0.500
0.500 0.500 0.000
0.000 0.500 0.500
0.500 0.000 0.500
```

The value obtained for the raw formation energy is 0.536 eV per atom. The calculation puts the final energy at -18.55 eV/atom. Its space group is P4/mmm (123). As for the crystal system: tetragonal. The density of states at the Fermi level is 0.76 states/eV/cell.

***

[7]
Computed, not measured: TiNbP2Cl at its PBEsol-relaxed geometry at the SCAN level of DFT.

The structure in POSCAR format:
```
TiNbP2Cl
1.0
4.667 0.000 0.000
0.000 4.667 0.000
0.000 0.000 4.445
Ti Nb P Cl
1 1 2 1
direct
0.000 0.000 0.000
0.500 0.500 0.500
0.000 0.500 0.000
0.500 0.000 0.000
0.000 0.000 0.500
```

The value obtained for the raw formation energy is 0.181 eV per atom. The calculation puts the final energy at -15.41 eV/atom. Its space group is P4/mmm (123). As for the crystal system: tetragonal. The density of states at the Fermi level is 4.22 states/eV/cell.

***

[8]
Computed, not measured: NbTlP2Cl at its PBEsol-relaxed geometry at the SCAN level of DFT.

The structure in POSCAR format:
```
NbTlP2Cl
1.0
4.928 0.000 0.000
0.000 4.928 0.000
0.000 0.000 5.071
Nb Tl P Cl
1 1 2 1
direct
0.000 0.000 0.000
0.500 0.500 0.500
0.000 0.500 0.500
0.500 0.000 0.500
0.500 0.500 0.000
```

The value obtained for the raw formation energy is 1.254 eV per atom. The calculation puts the final energy at -25.60 eV/atom. Its space group is P4/mmm (123). As for the crystal system: tetragonal. The density of states at the Fermi level is 3.92 states/eV/cell.

***

- Among the records above, which one has the highest raw formation energy?
  NbTlP2Cl

***

- final energy of number 6 (NbSnPCl2)?
  -18.55 eV/atom